The following is a GGA-PBE calculation of CeMgCd after structural relaxation, from Alexandria via LeMat-Bulk.

Lattice parameters (Å, degrees): 5.1867 5.1867 3.2314 90.00 90.00 120.00
Space group P-6m2 (No. 187)
Symmetry-distinct sites (fractional):
Ce 0.0000 0.0000 0.0000 (multiplicity 1)
Mg 0.3333 0.6667 0.5000 (multiplicity 1)
Cd 0.6667 0.3333 0.5000 (multiplicity 1)

Values from the calculation:
total moment: 1.296 μB per cell
total energy: -0.2178 Ry per atom



The following is a GGA-PBE calculation of Sm6SiP2S3 after structural relaxation, from Alexandria via LeMat-Bulk.

Lattice parameters (Å, degrees): 17.833 4.091 8.172 90.00 103.29 90.00
Space group C2/m (No. 12)
Symmetry-distinct sites (fractional):
Sm 0.001 0.000 0.249 (multiplicity 4)
Sm 0.166 0.500 0.087 (multiplicity 4)
Sm 0.169 0.500 0.579 (multiplicity 4)
Si 0.000 0.500 0.000 (multiplicity 2)
P 0.167 0.000 0.335 (multiplicity 4)
S 0.000 0.500 0.500 (multiplicity 2)
S 0.167 0.000 0.832 (multiplicity 4)

Values from the calculation:
total moment: 0.000 μB per cell
total energy: -0.4740 Ry per atom
uncorrected formation energy: -1.704 eV/atom



The following is a GGA-PBE calculation of CaSnAs after structural relaxation, from Alexandria via LeMat-Bulk.

Lattice parameters (Å, degrees): 5.832 8.518 6.188 90.00 90.00 90.00
Space group Cmcm (No. 63)
Symmetry-distinct sites (fractional):
Ca 0.000 0.157 0.250 (multiplicity 4)
Sn 0.000 0.500 0.000 (multiplicity 4)
As 0.000 0.195 0.750 (multiplicity 4)

Values from the calculation:
total moment: 0.000 μB per cell
total energy: -0.3020 Ry per atom



The following is a GGA-PBE calculation of TcSeN2Cl after structural relaxation, from Alexandria via LeMat-Bulk.

Lattice parameters (Å, degrees): 3.825 3.825 5.459 90.00 90.00 90.00
Space group P4/mmm (No. 123)
Symmetry-distinct sites (fractional):
Tc 0.000 0.000 0.000 (multiplicity 1)
Se 0.000 0.000 0.500 (multiplicity 1)
N 0.000 0.500 0.000 (multiplicity 2)
Cl 0.500 0.500 0.500 (multiplicity 1)

Values from the calculation:
total moment: 0.000 μB per cell
total energy: -0.4301 Ry per atom
uncorrected formation energy: 0.618 eV/atom



The following is a GGA-PBE calculation of RbInPb after structural relaxation, from Alexandria via LeMat-Bulk.

Lattice parameters (Å, degrees): 4.859 4.859 9.040 90.00 90.00 90.00
Space group P4/nmm (No. 129, origin choice 2)
Symmetry-distinct sites (fractional):
Rb 0.250 0.750 0.000 (multiplicity 2)
In 0.250 0.250 0.361 (multiplicity 2)
Pb 0.250 0.250 0.687 (multiplicity 2)

Values from the calculation:
total moment: 0.000 μB per cell
total energy: -0.1731 Ry per atom



The following is a GGA-PBE calculation of Cd2SiRh after structural relaxation, from Alexandria via LeMat-Bulk.

Lattice parameters (Å, degrees): 3.0492 3.0492 26.9933 90.00 90.00 120.00
Space group R3m (No. 160, hexagonal axes)
Symmetry-distinct sites (fractional):
Cd 0.0000 0.0000 0.0000 (multiplicity 3)
Cd 0.0000 0.0000 0.2337 (multiplicity 3)
Si 0.0000 0.0000 0.7559 (multiplicity 3)
Rh 0.0000 0.0000 0.4821 (multiplicity 3)

Values from the calculation:
total moment: 0.000 μB per cell
total energy: -0.2784 Ry per atom
uncorrected formation energy: -0.137 eV/atom



The following is a GGA-PBE calculation of Rb3BiTe3 after structural relaxation, from Alexandria via LeMat-Bulk.

Lattice parameters (Å, degrees): 9.265 15.045 12.566 90.00 129.35 90.00
Space group P2_1/c (No. 14)
Symmetry-distinct sites (fractional):
Rb 0.088 0.181 0.431 (multiplicity 4)
Rb 0.376 0.561 0.096 (multiplicity 4)
Rb 0.388 0.640 0.526 (multiplicity 4)
Bi 0.040 0.560 0.656 (multiplicity 4)
Te 0.140 0.129 0.155 (multiplicity 4)
Te 0.144 0.040 0.719 (multiplicity 4)
Te 0.385 0.670 0.830 (multiplicity 4)

Values from the calculation:
total moment: 0.000 μB per cell
total energy: -0.2266 Ry per atom
uncorrected formation energy: -0.767 eV/atom



The following is a GGA-PBE calculation of Y3CuIr8 after structural relaxation, from Alexandria via LeMat-Bulk.

Lattice parameters (Å, degrees): 5.3244 5.3244 26.0273 90.00 90.00 120.00
Space group R3m (No. 160, hexagonal axes)
Symmetry-distinct sites (fractional):
Y 0.0000 0.0000 0.0000 (multiplicity 3)
Y 0.0000 0.0000 0.1294 (multiplicity 3)
Y 0.0000 0.0000 0.5138 (multiplicity 3)
Cu 0.0000 0.0000 0.6428 (multiplicity 3)
Ir 0.0000 0.0000 0.3164 (multiplicity 3)
Ir 0.0000 0.0000 0.8169 (multiplicity 3)
Ir 0.9999 0.5000 0.0665 (multiplicity 9)
Ir 0.0001 0.5000 0.5676 (multiplicity 9)

Values from the calculation:
total moment: 0.000 μB per cell
total energy: -0.6165 Ry per atom